[1]
Here is crystalline Cu2NiH3 at its relaxed geometry from the Alexandria database. Energies are from GGA-PBE.

abc: 2.6464 2.6464 6.2809
angles: 102.11 102.11 90.23
With the nearest neighbours (Å) after each atom.
Sites, in units of the cell vectors:
1 H 0.9344 0.9356 0.8740  4 Ni 1.87-1.88, 2 Cu 2.00
2 H 0.2914 0.2928 0.5879  1 Ni 1.72, 4 Cu 1.89-1.90
3 H 0.5775 0.5789 0.1601  1 Ni 1.72, 4 Cu 1.89-1.90
4 Cu 0.7671 0.7686 0.5402  5 H 1.89-2.00
5 Cu 0.1008 0.1023 0.2077  5 H 1.89-2.00
6 Ni 0.4341 0.4359 0.8740  6 H 1.72-1.88

VASP energy: -0.2870 Ry/atom
Mass density: 7.46 g/cm³
Distance to the lowest polymorph of the same formula: 0.16 eV/f.u.

[2]
Here is crystalline TaPbBr2Cl at its relaxed geometry from the Alexandria database. Energies are from GGA-PBE.

abc: 4.9691 5.9181 4.9691
angles: 90.00 90.00 90.00
With the nearest neighbours (Å) after each atom.
Sites, in units of the cell vectors:
1 Br 0.0000 0.0000 0.5000  2 Ta 2.48
2 Br 0.5000 0.0000 0.0000  2 Ta 2.48
3 Cl 0.5000 0.5000 0.5000  4 Pb 3.51, 8 Br 3.86
4 Ta 0.0000 0.0000 0.0000  4 Br 2.48
5 Pb 0.0000 0.5000 0.0000  2 Ta 2.96

VASP energy: -0.3219 Ry/atom
Mass density: 6.63 g/cm³
Formation energy from raw total energies: -229.0 meV/atom

[3]
Here is crystalline TiCuSbRu at its relaxed geometry from the Alexandria database. Energies are from GGA-PBE.

abc: 4.4569 4.4569 4.4569
angles: 60.00 60.00 60.00
With the nearest neighbours (Å) after each atom.
Sites, in units of the cell vectors:
1 Ru 0.7500 0.7500 0.7500  4 Sb 2.73, 4 Ti 2.73
2 Sb 0.5000 0.5000 0.5000  4 Cu 2.73, 4 Ru 2.73
3 Cu 0.2500 0.2500 0.2500  4 Sb 2.73, 4 Ti 2.73
4 Ti 0.0000 0.0000 0.0000  4 Cu 2.73, 4 Ru 2.73

VASP energy: -0.4840 Ry/atom
Mass density: 8.87 g/cm³
Formation energy from raw total energies: -238.5 meV/atom